Record 1
# Ca3Y

Ca3Y after structural relaxation (GGA-PBE, Alexandria via LeMat-Bulk).

Lattice parameters (Å, degrees): 7.539 7.539 5.488 90.00 90.00 91.65
Fractional coordinates of all 8 atoms:
Ca: 0.129 0.377 0.750
Ca: 0.132 0.868 0.750
Ca: 0.377 0.129 0.250
Ca: 0.623 0.871 0.750
Ca: 0.868 0.132 0.250
Ca: 0.871 0.623 0.250
Y: 0.387 0.613 0.250
Y: 0.613 0.387 0.750

Computed properties:
Energy of formation ... 0.0959 eV/atom
Energy above the lowest structure with this stoichiometry ... 0.067 eV per atom

***

Record 2
# SrTbMgAl

SrTbMgAl after structural relaxation (GGA-PBE, Alexandria via LeMat-Bulk).

Lattice parameters (Å, degrees): 5.454 5.454 5.454 60.00 60.00 60.00
Fractional coordinates of all 4 atoms:
Sr: 0.000 0.000 0.000
Tb: 0.500 0.500 0.500
Mg: 0.250 0.250 0.250
Al: 0.750 0.750 0.750

Computed properties:
Energy of formation ... -0.1091 eV/atom

***

Which of these has the highest energy of formation?
Ca3Y